Crystalline Bi12Rh4Pb at its relaxed geometry, computed with PBE-GGA.

a = 8.5213 Å, b = 8.5213 Å, c = 8.5213 Å
α = 109.47°, β = 109.47°, γ = 109.47°
Last column: nearest neighbours and their distance in Å.
Element x y z (fractional)
Bi (0.1584, 0.3335, 0.4919)  2 Rh 2.75
Bi (0.1584, 0.6665, 0.8250)  2 Rh 2.75
Bi (0.1750, 0.8416, 0.3335)  2 Rh 2.75
Bi (0.3335, 0.1750, 0.8416)  2 Rh 2.75
Bi (0.3335, 0.4919, 0.1584)  2 Rh 2.75
Bi (0.4919, 0.1584, 0.3335)  2 Rh 2.75
Bi (0.5081, 0.8416, 0.6665)  2 Rh 2.75
Bi (0.6665, 0.5081, 0.8416)  2 Rh 2.75
Bi (0.6665, 0.8250, 0.1584)  2 Rh 2.75
Bi (0.8250, 0.1584, 0.6665)  2 Rh 2.75
Bi (0.8416, 0.3335, 0.1750)  2 Rh 2.75
Bi (0.8416, 0.6665, 0.5081)  2 Rh 2.75
Rh (0.0000, 0.0000, 0.5000)  6 Bi 2.75
Rh (0.0000, 0.5000, 0.0000)  6 Bi 2.75
Rh (0.5000, 0.0000, 0.0000)  6 Bi 2.75
Rh (0.5000, 0.5000, 0.5000)  6 Bi 2.75
Pb (0.0000, 0.0000, 0.0000)  12 Bi 3.63

Calculated total energy ... -4.824 eV/atom
Calculated density ... 10.90 g/cm3
ΔE_f ... -0.137 eV/atom
SG ... Im-3, No. 204